# 1
AlAgSb2O | PBE | relaxed

Cell: 5.502 5.502 3.893 Å, 90.00 90.00 90.00°
Fractional positions:
Al: 0.000 0.000 0.000
Ag: 0.500 0.500 0.500
Sb: 0.000 0.500 0.500
Sb: 0.500 0.000 0.500
O: 0.500 0.500 0.000

Properties
symmetry: P4/mmm (123)

---

# 2
AlAg2SbO4 | PBE | relaxed

Cell: 5.335 5.409 5.480 Å, 74.61 60.96 61.08°
Fractional positions:
Al: 0.000 0.000 0.000
Ag: 0.034 0.460 0.557
Ag: 0.563 0.213 0.703
Sb: 0.482 0.665 0.325
O: 0.114 0.961 0.642
O: 0.327 0.940 0.057
O: 0.742 0.367 0.024
O: 0.820 0.776 0.248

Properties
symmetry: P1 (1)

---

# 3
Al2AgSbO6 | PBE | relaxed

Cell: 7.244 7.244 6.031 Å, 105.06 105.06 103.88°
Fractional positions:
Al: 0.058 0.196 0.169
Al: 0.196 0.058 0.669
Al: 0.804 0.942 0.331
Al: 0.942 0.804 0.831
Ag: 0.398 0.602 0.750
Ag: 0.602 0.398 0.250
Sb: 0.301 0.699 0.250
Sb: 0.699 0.301 0.750
O: 0.070 0.161 0.458
O: 0.116 0.674 0.948
O: 0.161 0.070 0.958
O: 0.270 0.450 0.314
O: 0.326 0.884 0.552
O: 0.450 0.270 0.814
O: 0.550 0.730 0.186
O: 0.674 0.116 0.448
O: 0.730 0.550 0.686
O: 0.839 0.930 0.042
O: 0.884 0.326 0.052
O: 0.930 0.839 0.542

Properties
symmetry: C2/c (15)

---

# 4
Sc4AlAgO | PBE | relaxed

Cell: 7.766 7.766 6.151 Å, 90.00 90.00 133.20°
Fractional positions:
Sc: 0.000 0.500 0.000
Sc: 0.000 0.500 0.500
Sc: 0.076 0.924 0.750
Sc: 0.416 0.584 0.750
Sc: 0.500 0.000 0.000
Sc: 0.500 0.000 0.500
Sc: 0.584 0.416 0.250
Sc: 0.924 0.076 0.250
Al: 0.383 0.617 0.250
Al: 0.617 0.383 0.750
Ag: 0.116 0.884 0.250
Ag: 0.884 0.116 0.750
O: 0.251 0.749 0.750
O: 0.749 0.251 0.250

Properties
symmetry: Cmcm (63)

---

# 5
AlAgSe2O8 | PBE | relaxed

Cell: 4.927 4.927 7.812 Å, 90.00 90.00 120.00°
Fractional positions:
Al: 0.000 0.000 0.000
Ag: 0.000 0.000 0.500
Se: 0.333 0.667 0.217
Se: 0.667 0.333 0.783
O: 0.034 0.324 0.147
O: 0.290 0.966 0.147
O: 0.324 0.290 0.853
O: 0.333 0.667 0.428
O: 0.667 0.333 0.572
O: 0.676 0.710 0.147
O: 0.710 0.034 0.853
O: 0.966 0.676 0.853

Properties
symmetry: P-3 (147)

---

# 6
AlSiAgO4 | PBE | relaxed

Cell: 5.052 5.052 7.704 Å, 90.00 90.00 90.00°
Fractional positions:
Al: 0.000 0.000 0.000
Al: 0.500 0.500 0.500
Si: 0.000 0.500 0.250
Si: 0.500 0.000 0.750
Ag: 0.000 0.000 0.500
Ag: 0.500 0.500 0.000
O: 0.123 0.263 0.128
O: 0.237 0.623 0.372
O: 0.263 0.877 0.872
O: 0.377 0.237 0.628
O: 0.623 0.763 0.628
O: 0.737 0.123 0.872
O: 0.763 0.377 0.372
O: 0.877 0.737 0.128

Properties
symmetry: I-4 (82)
E above lowest polymorph: 0.000 eV/atom

---

no.,calculated volume (Å³/atom),E_form (uncorrected) (eV per atom)
1,23.6,0.473
2,15.1,-1.327
3,13.9,-1.853
4,19.3,-0.977
5,13.7,-1.000
6,14.0,-2.300